(1)
Compound: PrCu2Au9
Source: the Alexandria database
Functional: GGA-PBE
Structure: optimized geometry

abc: 8.717 8.717 8.717
angles: 99.88 99.88 131.06
Fractional positions:
1 Pr 0.375 0.625 0.750
2 Pr 0.625 0.375 0.250
3 Cu 0.000 0.000 0.000
4 Cu 0.000 0.000 0.500
5 Cu 0.000 0.500 0.000
6 Cu 0.500 0.000 0.500
7 Au 0.125 0.557 0.325
8 Au 0.125 0.800 0.568
9 Au 0.125 0.875 0.250
10 Au 0.200 0.268 0.325
11 Au 0.200 0.875 0.932
12 Au 0.268 0.200 0.825
13 Au 0.268 0.443 0.068
14 Au 0.443 0.268 0.568
15 Au 0.443 0.875 0.175
16 Au 0.557 0.125 0.825
17 Au 0.557 0.732 0.432
18 Au 0.732 0.557 0.932
19 Au 0.732 0.800 0.175
20 Au 0.800 0.125 0.068
21 Au 0.800 0.732 0.675
22 Au 0.875 0.125 0.750
23 Au 0.875 0.200 0.432
24 Au 0.875 0.443 0.675

## Properties
Crystal system: tetragonal
Calculated density (g cm⁻³): 14.91
Calculated volume (A^3/atom): 18.94
SG: No. 141
Spin magnetization (Bohr magnetons per cell): 0.00
Energy (eV/f.u.): -45.04
DOS at the Fermi energy (states/eV per cell): 7.4

---

(2)
Compound: Pr3Cu2Au
Source: the Alexandria database
Functional: GGA-PBE
Structure: optimized geometry

abc: 8.219 8.219 3.652
angles: 90.00 90.00 143.03
Fractional positions:
1 Pr 0.000 0.000 0.000
2 Pr 0.330 0.670 0.000
3 Pr 0.670 0.330 0.000
4 Cu 0.169 0.831 0.500
5 Cu 0.831 0.169 0.500
6 Au 0.500 0.500 0.500

## Properties
Crystal system: orthorhombic
Calculated density (g cm⁻³): 8.36
Calculated volume (A^3/atom): 24.73
SG: No. 65
Spin magnetization (Bohr magnetons per cell): 0.00
Energy (eV/f.u.): -27.76
DOS at the Fermi energy (states/eV per cell): 5.4

---

Which of these has the lowest energy? PrCu2Au9